No. 1
Here is MgIn2Ru after structural relaxation from Alexandria via LeMat-Bulk. Energies are from PBE-GGA.

The formation energy is 0.19 eV/atom.

The structure belongs to space group C2/m (No. 12); the cell edges are 5.8692, 9.0626 and 3.1573 Å and the angles 90.00°, 112.05° and 90.00°. The asymmetric unit holds Mg at (0.0000, 0.0000, 0.0000), In at (0.2500, 0.2500, 0.5000) and Ru at (0.0000, 0.5000, 0.0000).

=====

No. 2
Here is YAg2Au after structural relaxation from Alexandria via LeMat-Bulk. Energies are from PBE-GGA.

The formation energy is -0.41 eV/atom.

The structure belongs to space group I-4m2 (No. 119); the cell edges are 4.8611, 4.8611 and 7.0248 Å and the angles 90.00°, 90.00° and 90.00°. The asymmetric unit holds Y at (0.0000, 0.0000, 0.0000), Ag at (0.0000, 0.0000, 0.5000), Ag at (0.0000, 0.5000, 0.2500) and Au at (0.0000, 0.5000, 0.7500).

=====

No. 3
Here is Tb2Zn12Au5 after structural relaxation from Alexandria via LeMat-Bulk. Energies are from PBE-GGA.

The formation energy is -0.28 eV/atom.

The structure belongs to space group R-3m (No. 166, hexagonal axes); the cell edges are 9.2536, 9.2536 and 13.3859 Å and the angles 90.00°, 90.00° and 120.00°. The asymmetric unit holds Tb at (0.0000, 0.0000, 0.1642), Zn at (0.0000, 0.3023, 0.5000), Zn at (0.0164, 0.5082, 0.6535), Au at (0.0000, 0.0000, 0.3944) and Au at (0.0000, 0.5000, 0.0000).

=====

No. 4
Here is Pr2BeP after structural relaxation from Alexandria via LeMat-Bulk. Energies are from PBE-GGA.

The formation energy is 0.04 eV/atom.

The structure belongs to space group R-3m (No. 166, hexagonal axes); the cell edges are 4.0995, 4.0995 and 27.3833 Å and the angles 90.00°, 90.00° and 120.00°. The asymmetric unit holds Pr at (0.0000, 0.0000, 0.1098), Be at (0.0000, 0.0000, 0.0000) and P at (0.0000, 0.0000, 0.5000).

=====

No. 5
Here is MnTc2Ag after structural relaxation from Alexandria via LeMat-Bulk. Energies are from PBE-GGA.

The formation energy is 0.38 eV/atom.

The structure belongs to space group P2/m (No. 10); the cell edges are 2.7205, 3.8546 and 5.6153 Å and the angles 90.00°, 90.19° and 90.00°. The asymmetric unit holds Mn at (0.0000, 0.0000, 0.0000), Tc at (0.4967, 0.5000, 0.2126) and Ag at (0.0000, 0.0000, 0.5000).

=====

No. 6
Here is AgHg5O4 after structural relaxation from Alexandria via LeMat-Bulk. Energies are from PBE-GGA.

Its formation energy (no corrections) is -0.061 eV per atom.

The structure belongs to space group C2/m (No. 12); the cell edges are 14.2058, 3.5235 and 7.3312 Å and the angles 90.00°, 104.91° and 90.00°. The asymmetric unit holds Ag at (0.0000, 0.0000, 0.0000), Hg at (0.0000, 0.0000, 0.5000), Hg at (0.1580, 0.5000, 0.8482), Hg at (0.1856, 0.5000, 0.3598), O at (0.0020, 0.5000, 0.7290) and O at (0.1867, 0.0000, 0.1198).

=====

No. 7
Here is Os2SO after structural relaxation from Alexandria via LeMat-Bulk. Energies are from PBE-GGA.

Its formation energy (no corrections) is 0.680 eV per atom.

The structure belongs to space group Fm-3m (No. 225); the cell edges are 5.7245, 5.7245 and 5.7245 Å and the angles 90.00°, 90.00° and 90.00°. The asymmetric unit holds Os at (0.2500, 0.2500, 0.2500), S at (0.0000, 0.0000, 0.0000) and O at (0.0000, 0.0000, 0.5000).

=====

No. 8
Here is NaDySn6 after structural relaxation from Alexandria via LeMat-Bulk. Energies are from PBE-GGA.

The formation energy is -0.27 eV/atom.

The structure belongs to space group P4/mmm (No. 123); the cell edges are 4.6845, 4.6845 and 9.5770 Å and the angles 90.00°, 90.00° and 90.00°. The asymmetric unit holds Na at (0.0000, 0.0000, 0.0000), Dy at (0.0000, 0.0000, 0.5000), Sn at (0.0000, 0.5000, 0.2486), Sn at (0.5000, 0.5000, 0.0000) and Sn at (0.5000, 0.5000, 0.5000).

=====

No. 9
Here is NdY2Ru after structural relaxation from Alexandria via LeMat-Bulk. Energies are from PBE-GGA.

The formation energy is -0.21 eV/atom.

The structure belongs to space group P4/mmm (No. 123); the cell edges are 3.4612, 3.4612 and 9.0893 Å and the angles 90.00°, 90.00° and 90.00°. The asymmetric unit holds Nd at (0.0000, 0.0000, 0.0000), Y at (0.5000, 0.5000, 0.3195) and Ru at (0.0000, 0.0000, 0.5000).

=====

No. 10
Here is TmPuRh2 after structural relaxation from Alexandria via LeMat-Bulk. Energies are from PBE-GGA.

The formation energy is -0.67 eV/atom.

The structure belongs to space group P4/mmm (No. 123); the cell edges are 4.7859, 4.7859 and 3.4448 Å and the angles 90.00°, 90.00° and 90.00°. The asymmetric unit holds Tm at (0.0000, 0.0000, 0.0000), Pu at (0.5000, 0.5000, 0.0000) and Rh at (0.0000, 0.5000, 0.5000).

=====

No. 11
Here is Tl3B2Se4 after structural relaxation from Alexandria via LeMat-Bulk. Energies are from PBE-GGA.

Its formation energy (no corrections) is -0.151 eV per atom.

The structure belongs to space group C2/c (No. 15); the cell edges are 15.7451, 9.5877 and 6.0505 Å and the angles 90.00°, 96.53° and 90.00°. The asymmetric unit holds Tl at (0.0000, 0.0373, 0.2500), Tl at (0.0889, 0.3380, 0.9641), B at (0.2303, 0.1116, 0.5574), Se at (0.1538, 0.2874, 0.4731) and Se at (0.2086, 0.0754, 0.8932).

=====

No. 12
Here is Rb2BaAg2F7 after structural relaxation from Alexandria via LeMat-Bulk. Energies are from PBE-GGA.

Its formation energy (no corrections) is -2.306 eV per atom.

The structure belongs to space group I4/mmm (No. 139); the cell edges are 4.5064, 4.5064 and 22.8569 Å and the angles 90.00°, 90.00° and 90.00°. The asymmetric unit holds Rb at (0.0000, 0.0000, 0.1831), Ba at (0.0000, 0.0000, 0.0000), Ag at (0.0000, 0.0000, 0.4008), F at (0.0000, 0.0000, 0.3016), F at (0.0000, 0.0000, 0.5000) and F at (0.0000, 0.5000, 0.0799).

=====

No. 13
Here is K2Rb4In after structural relaxation from Alexandria via LeMat-Bulk. Energies are from PBE-GGA.

The formation energy is 0.11 eV/atom.

The structure belongs to space group I4/mmm (No. 139); the cell edges are 7.1968, 7.1968 and 22.2403 Å and the angles 90.00°, 90.00° and 90.00°. The asymmetric unit holds K at (0.0000, 0.0000, 0.1279), Rb at (0.0000, 0.0000, 0.3303), Rb at (0.0000, 0.5000, 0.0000) and In at (0.0000, 0.0000, 0.5000).